Material: TiCoRuO6
Method: DFT, PBE+U
State: optimized geometry

Cell lengths 5.0185, 5.0185, 8.8189 Å; angles 90.00, 90.00, 120.00 degrees
Last column: nearest neighbours and their distance in Å.
Space group P-31c (No. 163)
Asymmetric unit:
Ti1 0.3333 0.6667 0.2500  6 O 1.97
Co1 0.0000 0.0000 0.0000  6 O 2.07
Ru1 0.3333 0.6667 0.7500  6 O 1.95
O1 0.0024 0.3462 0.6293  1 Ru 1.95, 1 Ti 1.97, 1 Co 2.07

Computed properties:
Total DFT energy (no corrections) in hartree per atom: -0.2686